Here is an optimized crystal structure of Rb3IrCl6 from Alexandria. Energies are from PBE.

Results
Total moment, μB per formula unit: 0.000
Raw total energy, eV/atom: -3.64
Offset from the most stable computed form, meV/atom: 8.6
DOS(E_F), states/eV/atom: 0.000

a = 7.695 Å, b = 7.695 Å, c = 7.695 Å
α = 60.00°, β = 60.00°, γ = 60.00°
Fractional positions:
Rb 0.000 0.000 0.000
Rb 0.250 0.250 0.250
Rb 0.750 0.750 0.750
Ir 0.500 0.500 0.500
Cl 0.283 0.283 0.717
Cl 0.283 0.717 0.283
Cl 0.283 0.717 0.717
Cl 0.717 0.283 0.283
Cl 0.717 0.283 0.717
Cl 0.717 0.717 0.283

---

Here is an optimized crystal structure of Rb3IrCl from Alexandria. Energies are from PBE.

Results
Total moment, μB per formula unit: 1.000
Raw total energy, eV/atom: -2.71
Offset from the most stable computed form, meV/atom: 0.0
DOS(E_F), states/eV/atom: 0.490

a = 6.268 Å, b = 6.268 Å, c = 6.268 Å
α = 90.00°, β = 90.00°, γ = 90.00°
Fractional positions:
Rb 0.000 0.000 0.500
Rb 0.000 0.500 0.000
Rb 0.500 0.000 0.000
Ir 0.000 0.000 0.000
Cl 0.500 0.500 0.500

---

Here is an optimized crystal structure of Rb2IrCl4 from Alexandria. Energies are from PBE.

Results
Total moment, μB per formula unit: 1.006
Raw total energy, eV/atom: -3.74
DOS(E_F), states/eV/atom: 1.090

a = 6.877 Å, b = 6.877 Å, c = 6.877 Å
α = 115.26°, β = 115.26°, γ = 98.43°
Fractional positions:
Rb 0.250 0.750 0.500
Rb 0.750 0.250 0.500
Ir 0.000 0.000 0.000
Cl 0.223 0.223 0.447
Cl 0.223 0.777 0.000
Cl 0.777 0.223 0.000
Cl 0.777 0.777 0.553

---

Here is an optimized crystal structure of RbIr2Cl2 from Alexandria. Energies are from PBE.

Results
Total moment, μB per formula unit: 0.000
Raw total energy, eV/atom: -4.18
Offset from the most stable computed form, meV/atom: 116.3
DOS(E_F), states/eV/atom: 0.704

a = 9.047 Å, b = 9.047 Å, c = 3.092 Å
α = 90.00°, β = 90.00°, γ = 90.00°
Fractional positions:
Rb 0.000 0.000 0.000
Rb 0.500 0.500 0.000
Ir 0.091 0.409 0.500
Ir 0.409 0.909 0.500
Ir 0.591 0.091 0.500
Ir 0.909 0.591 0.500
Cl 0.232 0.268 0.000
Cl 0.268 0.768 0.000
Cl 0.732 0.232 0.000
Cl 0.768 0.732 0.000

---

Here is an optimized crystal structure of Rb2ReIrCl6 from Alexandria. Energies are from PBE.

Results
Total moment, μB per formula unit: 1.996
Raw total energy, eV/atom: -4.04
DOS(E_F), states/eV/atom: 0.810

a = 7.186 Å, b = 7.186 Å, c = 7.186 Å
α = 113.60°, β = 113.60°, γ = 101.49°
Fractional positions:
Rb 0.250 0.750 0.500
Rb 0.750 0.250 0.500
Re 0.000 0.000 0.000
Ir 0.500 0.500 0.000
Cl 0.218 0.218 0.436
Cl 0.218 0.782 0.000
Cl 0.256 0.256 0.000
Cl 0.744 0.744 0.000
Cl 0.782 0.218 0.000
Cl 0.782 0.782 0.564

---

Here is an optimized crystal structure of Rb2IrRhCl6 from Alexandria. Energies are from PBE.

Results
Total moment, μB per formula unit: 1.239
Raw total energy, eV/atom: -3.78
DOS(E_F), states/eV/atom: 1.017

a = 7.011 Å, b = 7.011 Å, c = 7.011 Å
α = 119.88°, β = 119.88°, γ = 90.21°
Fractional positions:
Rb 0.250 0.750 0.500
Rb 0.750 0.250 0.500
Ir 0.000 0.000 0.000
Rh 0.500 0.500 0.000
Cl 0.245 0.245 0.490
Cl 0.245 0.755 0.000
Cl 0.246 0.246 0.000
Cl 0.754 0.754 0.000
Cl 0.755 0.245 0.000
Cl 0.755 0.755 0.510

---

Here is an optimized crystal structure of Rb2IrRuCl6 from Alexandria. Energies are from PBE.

Results
Total moment, μB per formula unit: 2.586
Raw total energy, eV/atom: -3.88
DOS(E_F), states/eV/atom: 0.945

a = 7.059 Å, b = 7.059 Å, c = 7.059 Å
α = 120.25°, β = 120.25°, γ = 89.58°
Fractional positions:
Rb 0.250 0.750 0.500
Rb 0.750 0.250 0.500
Ir 0.000 0.000 0.000
Ru 0.500 0.500 0.000
Cl 0.245 0.245 0.000
Cl 0.247 0.247 0.493
Cl 0.247 0.753 0.000
Cl 0.753 0.247 0.000
Cl 0.753 0.753 0.507
Cl 0.755 0.755 0.000

---

Here is an optimized crystal structure of Rb2IrSCl6 from Alexandria. Energies are from PBE.

Results
Total moment, μB per formula unit: 1.032
Raw total energy, eV/atom: -3.40
DOS(E_F), states/eV/atom: 0.449

a = 7.229 Å, b = 7.229 Å, c = 7.229 Å
α = 113.30°, β = 113.30°, γ = 102.05°
Fractional positions:
Rb 0.250 0.750 0.500
Rb 0.750 0.250 0.500
Ir 0.000 0.000 0.000
S 0.500 0.500 0.000
Cl 0.212 0.212 0.423
Cl 0.212 0.788 0.000
Cl 0.256 0.256 0.000
Cl 0.744 0.744 0.000
Cl 0.788 0.212 0.000
Cl 0.788 0.788 0.577